(1)
# ZrFeSbMo (GGA-PBE, relaxed)
# Energy above the most stable polymorph in this dataset, eV per atom: 0.0000
# Theoretical density, kg/m3: 8981
# Total moment, μB/f.u.: 0.98
data_ZrFeSbMo
_chemical_formula_sum 'Zr4 Fe4 Sb4 Mo4'
_cell_length_a 6.461
_cell_length_b 6.461
_cell_length_c 6.461
_cell_angle_alpha 90.00
_cell_angle_beta 90.00
_cell_angle_gamma 90.00
_symmetry_space_group_name_H-M 'F -4 3 m'
_symmetry_Int_Tables_number 216
_symmetry_space_group_name_Hall 'F -4 2 3'
loop_
_atom_site_label
_atom_site_type_symbol
_atom_site_fract_x
_atom_site_fract_y
_atom_site_fract_z
Zr1 Zr 0.000 0.000 0.000
Fe1 Fe 0.250 0.250 0.750
Sb1 Sb 0.000 0.000 0.500
Mo1 Mo 0.250 0.250 0.250

***

(2)
# SmFeSi2Pd (GGA-PBE, relaxed)
# E, eV for the cell shown: -65.6
# Theoretical density, kg/m3: 7458
# Total moment, μB/f.u.: 0.28
data_SmFeSi2Pd
_chemical_formula_sum 'Sm2 Fe2 Si4 Pd2'
_cell_length_a 4.038
_cell_length_b 4.038
_cell_length_c 10.070
_cell_angle_alpha 90.00
_cell_angle_beta 90.00
_cell_angle_gamma 90.00
_symmetry_space_group_name_H-M 'I -4 m 2'
_symmetry_Int_Tables_number 119
_symmetry_space_group_name_Hall 'I -4 -2'
loop_
_atom_site_label
_atom_site_type_symbol
_atom_site_fract_x
_atom_site_fract_y
_atom_site_fract_z
Sm1 Sm 0.000 0.000 0.000
Fe1 Fe 0.000 0.500 0.750
Si1 Si 0.000 0.000 0.377
Pd1 Pd 0.000 0.500 0.250

***

(3)
# BaUCu (GGA-PBE, relaxed)
# Energy above the most stable polymorph in this dataset, eV per atom: 0.0000
# Theoretical density, kg/m3: 7622
# Total moment, μB/f.u.: 4.40
data_BaUCu
_chemical_formula_sum 'Ba4 U4 Cu4'
_cell_length_a 7.259
_cell_length_b 7.259
_cell_length_c 7.259
_cell_angle_alpha 90.00
_cell_angle_beta 90.00
_cell_angle_gamma 90.00
_symmetry_space_group_name_H-M 'F -4 3 m'
_symmetry_Int_Tables_number 216
_symmetry_space_group_name_Hall 'F -4 2 3'
loop_
_atom_site_label
_atom_site_type_symbol
_atom_site_fract_x
_atom_site_fract_y
_atom_site_fract_z
Ba1 Ba 0.000 0.000 0.000
U1 U 0.000 0.000 0.500
Cu1 Cu 0.250 0.250 0.250

***

(4)
# LiTbIn (GGA-PBE, relaxed)
# E, eV for the cell shown: -37.2
# Theoretical density, kg/m3: 5363
# Total moment, μB/f.u.: 0.98
data_LiTbIn
_chemical_formula_sum 'Li4 Tb4 In4'
_cell_length_a 7.031
_cell_length_b 7.031
_cell_length_c 7.031
_cell_angle_alpha 90.00
_cell_angle_beta 90.00
_cell_angle_gamma 90.00
_symmetry_space_group_name_H-M 'F -4 3 m'
_symmetry_Int_Tables_number 216
_symmetry_space_group_name_Hall 'F -4 2 3'
loop_
_atom_site_label
_atom_site_type_symbol
_atom_site_fract_x
_atom_site_fract_y
_atom_site_fract_z
Li1 Li 0.000 0.000 0.000
Tb1 Tb 0.000 0.000 0.500
In1 In 0.250 0.250 0.250

***

(5)
# KRb2PdBr6 (GGA-PBE, relaxed)
# E, eV for the cell shown: -116.8
# Theoretical density, kg/m3: 3633
data_KRb2PdBr6
_chemical_formula_sum 'K4 Rb8 Pd4 Br24'
_cell_length_a 11.332
_cell_length_b 11.332
_cell_length_c 11.332
_cell_angle_alpha 90.00
_cell_angle_beta 90.00
_cell_angle_gamma 90.00
_symmetry_space_group_name_H-M 'F m -3 m'
_symmetry_Int_Tables_number 225
_symmetry_space_group_name_Hall '-F 4 2 3'
loop_
_atom_site_label
_atom_site_type_symbol
_atom_site_fract_x
_atom_site_fract_y
_atom_site_fract_z
K1 K 0.000 0.000 0.000
Rb1 Rb 0.250 0.250 0.250
Pd1 Pd 0.000 0.000 0.500
Br1 Br 0.000 0.000 0.273

***

(6)
# HoTmGe (GGA-PBE, relaxed)
# E, eV for the cell shown: -60.9
# Theoretical density, kg/m3: 8369
# Total moment, μB/f.u.: 0.00
data_HoTmGe
_chemical_formula_sum 'Ho4 Tm4 Ge4'
_cell_length_a 6.859
_cell_length_b 6.859
_cell_length_c 6.859
_cell_angle_alpha 90.00
_cell_angle_beta 90.00
_cell_angle_gamma 90.00
_symmetry_space_group_name_H-M 'F -4 3 m'
_symmetry_Int_Tables_number 216
_symmetry_space_group_name_Hall 'F -4 2 3'
loop_
_atom_site_label
_atom_site_type_symbol
_atom_site_fract_x
_atom_site_fract_y
_atom_site_fract_z
Ho1 Ho 0.000 0.000 0.000
Tm1 Tm 0.000 0.000 0.500
Ge1 Ge 0.250 0.250 0.250